# CuPOs2 (meta-GGA SCAN, PBEsol geometry)
data_CuPOs2
_symmetry_space_group_name_H-M 'C 1 m 1'
_symmetry_Int_Tables_number 8
_symmetry_space_group_name_Hall 'C -2y'
_cell_length_a 8.6830
_cell_length_b 2.8860
_cell_length_c 4.3003
_cell_angle_alpha 90.00
_cell_angle_beta 107.62
_cell_angle_gamma 90.00
loop_
_atom_site_label
_atom_site_fract_x
_atom_site_fract_y
_atom_site_fract_z
Cu1 0.0000 0.0000 0.0000
P1 0.2480 0.0000 0.6749
Os1 0.2459 0.5000 0.1197
Os2 0.4985 0.0000 0.5020
# uncorrected energy: -42.049 eV/atom


# CuSiPOs2 (meta-GGA SCAN, PBEsol geometry)
data_CuSiPOs2
_symmetry_space_group_name_H-M 'P 4/m m m'
_symmetry_Int_Tables_number 123
_symmetry_space_group_name_Hall '-P 4 2'
_cell_length_a 4.3163
_cell_length_b 4.3163
_cell_length_c 4.3808
_cell_angle_alpha 90.00
_cell_angle_beta 90.00
_cell_angle_gamma 90.00
loop_
_atom_site_label
_atom_site_fract_x
_atom_site_fract_y
_atom_site_fract_z
Cu1 0.0000 0.0000 0.0000
Si1 0.5000 0.5000 0.0000
P1 0.5000 0.5000 0.5000
Os1 0.0000 0.5000 0.5000
# uncorrected energy: -34.562 eV/atom